A:
Material: K2RbNaTe
Method: DFT, PBE-GGA
State: optimized geometry

```
K2RbNaTe
1.0
6.926 0.000 0.000
0.000 6.926 0.000
0.000 0.000 6.111
K Rb Na Te
2 1 1 1
Cartesian
0.000 3.463 0.000 K
3.463 0.000 0.000 K
0.000 0.000 3.056 Rb
3.463 3.463 3.056 Na
3.463 3.463 0.000 Te
```

Results
volume = 293 Å³ per cell
density of states at the Fermi level = 1.979 states/eV per cell
total moment = 0.00 μB per formula unit
space group = No. 123

***

B:
Material: K2RbNaTe
Method: DFT, PBE-GGA
State: optimized geometry

```
K2RbNaTe
1.0
6.744 0.000 0.000
0.000 6.744 0.000
0.000 0.000 7.083
K Rb Na Te
2 1 1 1
Cartesian
0.000 3.372 0.000 K
3.372 0.000 0.000 K
0.000 0.000 3.541 Rb
3.372 3.372 3.541 Na
0.000 0.000 0.000 Te
```

Results
volume = 322 Å³ per cell
density of states at the Fermi level = 0.917 states/eV per cell
total moment = 0.00 μB per formula unit
space group = No. 123

***

The least stable of them is A.

***

A:
Material: KNaRe2
Method: DFT, PBE-GGA
State: optimized geometry

```
KNaRe2
1.0
3.713 0.000 0.000
0.000 3.713 0.000
0.000 0.000 23.328
K Na Re
4 4 8
Cartesian
0.000 0.000 0.000 K
0.000 1.857 5.832 K
1.857 0.000 17.496 K
1.857 1.857 11.664 K
0.000 0.000 11.664 Na
0.000 1.857 17.496 Na
1.857 0.000 5.832 Na
1.857 1.857 0.000 Na
0.859 0.928 14.580 Re
0.928 2.716 20.412 Re
0.928 2.854 8.748 Re
0.998 0.928 2.916 Re
2.716 2.785 2.916 Re
2.785 0.859 8.748 Re
2.785 0.998 20.412 Re
2.854 2.785 14.580 Re
```

Results
volume = 322 Å³ per cell
density of states at the Fermi level = 11.218 states/eV per cell
total moment = 0.00 μB per formula unit
space group = No. 122

***

B:
Material: KNaRe2
Method: DFT, PBE-GGA
State: optimized geometry

```
KNaRe2
1.0
7.117 0.000 0.000
0.000 7.117 0.000
0.000 0.000 7.117
K Na Re
4 4 8
Cartesian
0.000 0.000 0.000 K
0.000 3.559 3.559 K
3.559 0.000 3.559 K
3.559 3.559 0.000 K
0.000 0.000 3.559 Na
0.000 3.559 0.000 Na
3.559 0.000 0.000 Na
3.559 3.559 3.559 Na
1.779 1.779 1.779 Re
1.779 1.779 5.338 Re
1.779 5.338 1.779 Re
1.779 5.338 5.338 Re
5.338 1.779 1.779 Re
5.338 1.779 5.338 Re
5.338 5.338 1.779 Re
5.338 5.338 5.338 Re
```

Results
volume = 361 Å³ per cell
density of states at the Fermi level = 16.983 states/eV per cell
total moment = 5.71 μB per formula unit
space group = No. 225

***

The least stable of them is B.

***

A:
Material: KNa3Re
Method: DFT, PBE-GGA
State: optimized geometry

```
KNa3Re
1.0
6.000 0.000 0.000
0.000 6.000 0.000
0.000 0.000 6.000
K Na Re
1 3 1
Cartesian
0.000 0.000 0.000 K
0.000 3.000 3.000 Na
3.000 0.000 3.000 Na
3.000 3.000 0.000 Na
3.000 3.000 3.000 Re
```

Results
volume = 216 Å³ per cell
density of states at the Fermi level = 6.112 states/eV per cell
total moment = 3.76 μB per formula unit
space group = No. 221

***

B:
Material: KNa3Re
Method: DFT, PBE-GGA
State: optimized geometry

```
KNa3Re
1.0
5.826 0.000 0.000
0.000 5.826 0.000
0.000 0.000 5.826
K Na Re
1 3 1
Cartesian
0.000 0.000 0.000 K
0.000 0.000 2.913 Na
0.000 2.913 0.000 Na
2.913 0.000 0.000 Na
2.913 2.913 2.913 Re
```

Results
volume = 198 Å³ per cell
density of states at the Fermi level = 4.127 states/eV per cell
total moment = 3.99 μB per formula unit
space group = No. 221

***

The least stable of them is B.

***

A:
Material: KNa2Rh
Method: DFT, PBE-GGA
State: optimized geometry

```
KNa2Rh
1.0
4.734 0.000 0.000
0.000 4.734 0.000
0.000 0.000 21.143
K Na Rh
4 8 4
Cartesian
0.000 0.000 0.000 K
0.000 2.367 5.286 K
2.367 0.000 15.857 K
2.367 2.367 10.572 K
0.921 1.184 13.215 Na
1.184 3.288 18.500 Na
1.184 3.814 7.929 Na
1.447 1.184 2.643 Na
3.288 3.551 2.643 Na
3.551 0.921 7.929 Na
3.551 1.447 18.500 Na
3.814 3.551 13.215 Na
0.000 0.000 10.572 Rh
0.000 2.367 15.857 Rh
2.367 0.000 5.286 Rh
2.367 2.367 0.000 Rh
```

Results
volume = 474 Å³ per cell
density of states at the Fermi level = 13.405 states/eV per cell
total moment = 0.34 μB per formula unit
space group = No. 122

***

B:
Material: KNa2Rh
Method: DFT, PBE-GGA
State: optimized geometry

```
KNa2Rh
1.0
7.420 0.000 0.000
0.000 7.420 0.000
0.000 0.000 7.420
K Na Rh
4 8 4
Cartesian
0.000 0.000 0.000 K
0.000 3.710 3.710 K
3.710 0.000 3.710 K
3.710 3.710 0.000 K
1.855 1.855 1.855 Na
1.855 1.855 5.565 Na
1.855 5.565 1.855 Na
1.855 5.565 5.565 Na
5.565 1.855 1.855 Na
5.565 1.855 5.565 Na
5.565 5.565 1.855 Na
5.565 5.565 5.565 Na
0.000 0.000 3.710 Rh
0.000 3.710 0.000 Rh
3.710 0.000 0.000 Rh
3.710 3.710 3.710 Rh
```

Results
volume = 408 Å³ per cell
density of states at the Fermi level = 17.409 states/eV per cell
total moment = 0.00 μB per formula unit
space group = No. 225

***

C:
Material: KNa2Rh
Method: DFT, PBE-GGA
State: optimized geometry

```
KNa2Rh
1.0
3.210 0.000 0.000
-1.605 2.780 0.000
0.000 0.000 38.114
K Na Rh
3 6 3
Cartesian
0.000 0.000 0.000 K
0.000 1.853 25.410 K
1.605 0.927 12.705 K
0.000 0.000 16.325 Na
0.000 0.000 21.789 Na
0.000 1.853 3.620 Na
0.000 1.853 9.084 Na
1.605 0.927 29.030 Na
1.605 0.927 34.494 Na
0.000 0.000 19.057 Rh
0.000 1.853 6.352 Rh
1.605 0.927 31.762 Rh
```

Results
volume = 340 Å³ per cell
density of states at the Fermi level = 12.122 states/eV per cell
total moment = 0.96 μB per formula unit
space group = No. 166

***

The least stable of them is C.